The following is a DFT calculation (PBE-GGA) of a relaxed structure of NdHfZn17.

Results
* formation energy from the elements: -157.8 meV/atom
* DOS at the Fermi energy: 14.4 states/eV/cell
* E_tot: -2.07 eV per atom

Geometry as CIF:
```
data_NdHfZn17
_chemical_formula_sum 'Nd3 Hf3 Zn51'
_cell_length_a 8.9242
_cell_length_b 8.9242
_cell_length_c 13.1043
_cell_angle_alpha 90.00
_cell_angle_beta 90.00
_cell_angle_gamma 120.00
_space_group_name_H-M_alt 'R 3 m'
_space_group_IT_number 160
_space_group_name_Hall 'R 3 -2"'
loop_
_atom_site_label
_atom_site_fract_x
_atom_site_fract_y
_atom_site_fract_z
Nd1 0.0000 0.0000 0.0000
Hf1 0.0000 0.0000 0.6657
Zn1 0.0000 0.0000 0.2419
Zn2 0.0000 0.0000 0.4412
Zn3 0.0047 0.3009 0.3351
Zn4 0.0046 0.5023 0.1864
Zn5 0.0112 0.5056 0.8325
Zn6 0.0265 0.5133 0.4864
```

The following is a DFT calculation (PBE-GGA) of a relaxed structure of CdAu.

Results
* formation energy from the elements: -75.8 meV/atom
* DOS at the Fermi energy: 0.8 states/eV/cell
* E_tot: -2.17 eV per atom

Geometry as CIF:
```
data_CdAu
_chemical_formula_sum 'Cd2 Au2'
_cell_length_a 3.0880
_cell_length_b 3.0880
_cell_length_c 8.2677
_cell_angle_alpha 90.00
_cell_angle_beta 90.00
_cell_angle_gamma 90.00
_space_group_name_H-M_alt 'P 4/n m m'
_space_group_IT_number 129
loop_
_space_group_symop_operation_xyz
'x,y,z'
'-x,-y,-z'
'-y+1/2,x,z'
'y+1/2,-x,-z'
'-x+1/2,-y+1/2,z'
'x+1/2,y+1/2,-z'
'y,-x+1/2,z'
'-y,x+1/2,-z'
'x+1/2,-y,-z'
'-x+1/2,y,z'
'-y,-x,-z'
'y,x,z'
'-x,y+1/2,-z'
'x,-y+1/2,z'
'y+1/2,x+1/2,-z'
'-y+1/2,-x+1/2,z'
loop_
_atom_site_label
_atom_site_fract_x
_atom_site_fract_y
_atom_site_fract_z
Cd1 0.2500 0.2500 0.1404
Au1 0.2500 0.2500 0.6203
```

The following is a DFT calculation (PBE-GGA) of a relaxed structure of TiPAuCl2.

Results
* DOS at the Fermi energy: 10.0 states/eV/cell
* E_form (uncorrected): 627 meV/atom
* E_tot: -3.43 eV per atom

Geometry as CIF:
```
data_TiPAuCl2
_chemical_formula_sum 'Ti1 P1 Au1 Cl2'
_cell_length_a 4.8484
_cell_length_b 4.8484
_cell_length_c 5.0761
_cell_angle_alpha 90.00
_cell_angle_beta 90.00
_cell_angle_gamma 90.00
_space_group_name_H-M_alt 'P 4/m m m'
_space_group_IT_number 123
_space_group_name_Hall '-P 4 2'
loop_
_atom_site_label
_atom_site_fract_x
_atom_site_fract_y
_atom_site_fract_z
Ti1 0.0000 0.0000 0.0000
P1 0.5000 0.5000 0.0000
Au1 0.5000 0.5000 0.5000
Cl1 0.0000 0.5000 0.5000
```

The following is a DFT calculation (PBE-GGA) of a relaxed structure of LiMn2.

Results
* formation energy from the elements: 1033.3 meV/atom
* DOS at the Fermi energy: 17.2 states/eV/cell
* E_tot: -5.72 eV per atom

Geometry as CIF:
```
data_LiMn2
_chemical_formula_sum 'Li4 Mn8'
_cell_length_a 5.8721
_cell_length_b 5.8721
_cell_length_c 5.8721
_cell_angle_alpha 90.00
_cell_angle_beta 90.00
_cell_angle_gamma 90.00
_space_group_name_H-M_alt 'F m -3 m'
_space_group_IT_number 225
_space_group_name_Hall '-F 4 2 3'
loop_
_atom_site_label
_atom_site_fract_x
_atom_site_fract_y
_atom_site_fract_z
Li1 0.0000 0.0000 0.0000
Mn1 0.2500 0.2500 0.2500
```

Question: What is the DOS at the Fermi energy in the fourth record?
Answer: 17.2 states/eV/cell

Question: Look up the DOS at the Fermi energy of the first one.
Answer: 14.4 states/eV/cell